Entry 1:
# Li2CaMg5 (PBE, relaxed)
data_Li2CaMg5
_chemical_formula_sum 'Li4 Ca2 Mg10'
_cell_length_a 4.566
_cell_length_b 8.518
_cell_length_c 10.140
_cell_angle_alpha 90.00
_cell_angle_beta 90.00
_cell_angle_gamma 90.00
_symmetry_space_group_name_H-M 'I m m m'
_symmetry_Int_Tables_number 71
_symmetry_space_group_name_Hall '-I 2 2'
loop_
_atom_site_label
_atom_site_type_symbol
_atom_site_fract_x
_atom_site_fract_y
_atom_site_fract_z
Li1 Li 0.000 0.000 0.225
Ca1 Ca 0.000 0.500 0.500
Mg1 Mg 0.000 0.000 0.500
Mg2 Mg 0.000 0.319 0.155
# VASP energy   -1.706 eV per atom

---

Entry 2:
# Li4CaMg8 (PBE, relaxed)
data_Li4CaMg8
_chemical_formula_sum 'Li8 Ca2 Mg16'
_cell_length_a 10.393
_cell_length_b 10.393
_cell_length_c 5.500
_cell_angle_alpha 90.00
_cell_angle_beta 90.00
_cell_angle_gamma 90.00
_symmetry_space_group_name_H-M 'I 4/m m m'
_symmetry_Int_Tables_number 139
_symmetry_space_group_name_Hall '-I 4 2'
loop_
_atom_site_label
_atom_site_type_symbol
_atom_site_fract_x
_atom_site_fract_y
_atom_site_fract_z
Li1 Li 0.250 0.250 0.250
Ca1 Ca 0.000 0.000 0.000
Mg1 Mg 0.000 0.216 0.500
Mg2 Mg 0.000 0.355 0.000
# VASP energy   -1.774 eV per atom

---

Entry 3:
# Li3CaMg3 (PBE, relaxed)
data_Li3CaMg3
_chemical_formula_sum 'Li24 Ca8 Mg24'
_cell_length_a 13.011
_cell_length_b 13.011
_cell_length_c 13.011
_cell_angle_alpha 90.00
_cell_angle_beta 90.00
_cell_angle_gamma 90.00
_symmetry_space_group_name_H-M 'F m -3 m'
_symmetry_Int_Tables_number 225
_symmetry_space_group_name_Hall '-F 4 2 3'
loop_
_atom_site_label
_atom_site_type_symbol
_atom_site_fract_x
_atom_site_fract_y
_atom_site_fract_z
Li1 Li 0.000 0.000 0.144
Ca1 Ca 0.250 0.250 0.250
Mg1 Mg 0.000 0.000 0.339
# E above lowest polymorph   629 meV per atom
# VASP energy   -1.143 eV per atom

---

Entry 4:
# LiCaMg2 (PBE, relaxed)
data_LiCaMg2
_chemical_formula_sum 'Li1 Ca1 Mg2'
_cell_length_a 3.349
_cell_length_b 4.995
_cell_length_c 6.534
_cell_angle_alpha 90.00
_cell_angle_beta 103.49
_cell_angle_gamma 90.00
_symmetry_space_group_name_H-M 'P 1 m 1'
_symmetry_Int_Tables_number 6
loop_
_symmetry_equiv_pos_as_xyz
'x,y,z'
'x,-y,z'
loop_
_atom_site_label
_atom_site_type_symbol
_atom_site_fract_x
_atom_site_fract_y
_atom_site_fract_z
Li1 Li 0.000 0.000 0.000
Ca1 Ca 0.329 0.500 0.750
Mg1 Mg 0.653 0.000 0.445
Mg2 Mg 0.997 0.500 0.235
# E above lowest polymorph   74 meV per atom
# VASP energy   -1.760 eV per atom

---

Entry 5:
# Li5CaMg7 (PBE, relaxed)
data_Li5CaMg7
_chemical_formula_sum 'Li10 Ca2 Mg14'
_cell_length_a 5.529
_cell_length_b 10.285
_cell_length_c 10.357
_cell_angle_alpha 90.00
_cell_angle_beta 90.00
_cell_angle_gamma 90.00
_symmetry_space_group_name_H-M 'I m m 2'
_symmetry_Int_Tables_number 44
loop_
_symmetry_equiv_pos_as_xyz
'x,y,z'
'-x,-y,z'
'-x,y,z'
'x,-y,z'
'x+1/2,y+1/2,z+1/2'
'-x+1/2,-y+1/2,z+1/2'
'-x+1/2,y+1/2,z+1/2'
'x+1/2,-y+1/2,z+1/2'
loop_
_atom_site_label
_atom_site_type_symbol
_atom_site_fract_x
_atom_site_fract_y
_atom_site_fract_z
Li1 Li 0.000 0.000 0.000
Li2 Li 0.250 0.248 0.970
Ca1 Ca 0.000 0.500 0.720
Mg1 Mg 0.000 0.000 0.438
Mg2 Mg 0.000 0.147 0.720
Mg3 Mg 0.000 0.212 0.219
Mg4 Mg 0.000 0.500 0.075
Mg5 Mg 0.000 0.500 0.368
# VASP energy   -1.791 eV per atom

---

Entry 6:
# Li6Ca3Mg2 (PBE, relaxed)
data_Li6Ca3Mg2
_chemical_formula_sum 'Li24 Ca12 Mg8'
_cell_length_a 10.501
_cell_length_b 10.501
_cell_length_c 10.501
_cell_angle_alpha 90.00
_cell_angle_beta 90.00
_cell_angle_gamma 90.00
_symmetry_space_group_name_H-M 'I m -3 m'
_symmetry_Int_Tables_number 229
_symmetry_space_group_name_Hall '-I 4 2 3'
loop_
_atom_site_label
_atom_site_type_symbol
_atom_site_fract_x
_atom_site_fract_y
_atom_site_fract_z
Li1 Li 0.000 0.343 0.343
Ca1 Ca 0.000 0.000 0.264
Mg1 Mg 0.250 0.250 0.250
# VASP energy   -1.909 eV per atom

---

Which of these has the highest VASP energy? Li3CaMg3

---

Which value of VASP energy does entry 3 give? -1.143 eV per atom